Record 1
## Na3Tl4Pb2 (GGA-PBE)

Data for an optimized crystal structure of Na3Tl4Pb2. Values from VASP.

```
&SYSTEM
  ibrav = 0, nat = 9, ntyp = 3
/
ATOMIC_SPECIES
Tl 204.38 Tl.upf
Na 22.99 Na.upf
Pb 207.20 Pb.upf
CELL_PARAMETERS angstrom
-0.5434 0.3327 5.6968
4.0847 -3.0524 3.4310
7.5811 4.8648 3.7631
ATOMIC_POSITIONS crystal
Tl 0.9544 0.5489 0.6689
Tl 0.0456 0.4511 0.3311
Tl 0.6636 0.6692 0.9993
Tl 0.3364 0.3308 0.0007
Na 0.3766 0.7814 0.3333
Na 0.6234 0.2186 0.6667
Na 0.0000 0.0000 0.0000
Pb 0.7073 0.1142 0.3357
Pb 0.2927 0.8858 0.6643
```

## Properties
Its density of states at the Fermi level is 4.02 states/eV/f.u. As for the symmetry: P-1. The total energy comes out at -2.423 eV/atom. The value obtained for the calculated formation energy is -0.107 eV/atom. As for the excess energy over the best structure of this formula in the dataset: 0.000 eV per atom.



Record 2
## Na4Tl4Pb3 (GGA-PBE)

Data for an optimized crystal structure of Na4Tl4Pb3. Values from VASP.

```
&SYSTEM
  ibrav = 0, nat = 11, ntyp = 3
/
ATOMIC_SPECIES
Tl 204.38 Tl.upf
Pb 207.20 Pb.upf
Na 22.99 Na.upf
CELL_PARAMETERS angstrom
-1.7432 1.5657 2.6802
-4.1020 -0.7500 -2.2297
1.2131 -17.1999 8.5894
ATOMIC_POSITIONS crystal
Tl 0.7282 0.7278 0.4553
Tl 0.9082 0.9110 0.8189
Tl 0.0918 0.0890 0.1811
Tl 0.2717 0.2722 0.5448
Pb 0.6328 0.6328 0.2670
Pb 0.0000 0.0000 0.0000
Pb 0.3672 0.3672 0.7330
Na 0.5450 0.5438 0.0898
Na 0.4550 0.4563 0.9102
Na 0.1809 0.1820 0.3634
Na 0.8191 0.8180 0.6366
```

## Properties
Its density of states at the Fermi level is 4.10 states/eV/f.u. As for the symmetry: P-1. The total energy comes out at -2.460 eV/atom. The value obtained for the calculated formation energy is -0.109 eV/atom. As for the excess energy over the best structure of this formula in the dataset: 0.000 eV per atom.



Record 3
## NaTl3Pb2 (GGA-PBE)

Data for an optimized crystal structure of NaTl3Pb2. Values from VASP.

```
&SYSTEM
  ibrav = 0, nat = 12, ntyp = 3
/
ATOMIC_SPECIES
Na 22.99 Na.upf
Pb 207.20 Pb.upf
Tl 204.38 Tl.upf
CELL_PARAMETERS angstrom
-1.2416 -4.0947 -4.6657
8.9482 -1.7751 -0.8235
-6.9214 -3.4743 4.8911
ATOMIC_POSITIONS crystal
Na 0.7500 0.6539 0.3461
Na 0.2500 0.3461 0.6539
Pb 0.5000 0.7451 0.7451
Pb 0.5000 0.2549 0.2549
Pb 0.0000 0.7451 0.7451
Pb 0.0000 0.2549 0.2549
Tl 0.2500 0.4238 0.0685
Tl 0.7500 0.1497 0.8503
Tl 0.7500 0.5762 0.9315
Tl 0.2500 0.9315 0.5762
Tl 0.7500 0.0685 0.4238
Tl 0.2500 0.8503 0.1497
```

## Properties
Its density of states at the Fermi level is 3.22 states/eV/f.u. As for the symmetry: Cmcm. The total energy comes out at -2.653 eV/atom. The value obtained for the calculated formation energy is -0.014 eV/atom. As for the excess energy over the best structure of this formula in the dataset: 0.038 eV per atom.



Record 4
## Na14TlPb (GGA-PBE)

Data for an optimized crystal structure of Na14TlPb. Values from VASP.

```
&SYSTEM
  ibrav = 0, nat = 16, ntyp = 3
/
ATOMIC_SPECIES
Na 22.99 Na.upf
Pb 207.20 Pb.upf
Tl 204.38 Tl.upf
CELL_PARAMETERS angstrom
-5.2349 -1.3809 -4.9178
5.0690 -2.2768 -4.7558
-0.8688 -9.3493 3.5500
ATOMIC_POSITIONS crystal
Na 0.6239 0.1261 0.7286
Na 0.3750 0.8750 0.0000
Na 0.8750 0.3750 0.5000
Na 0.6238 0.6238 0.7286
Na 0.3750 0.3750 0.0000
Na 0.3750 0.8750 0.5000
Na 0.1261 0.6239 0.7286
Na 0.1262 0.1262 0.2714
Na 0.8750 0.3750 0.0000
Na 0.1261 0.6239 0.2714
Na 0.8750 0.8750 0.0000
Na 0.1262 0.1262 0.7286
Na 0.6239 0.1261 0.2714
Na 0.6238 0.6238 0.2714
Pb 0.3750 0.3750 0.5000
Tl 0.8750 0.8750 0.5000
```

## Properties
Its density of states at the Fermi level is 8.88 states/eV/f.u. As for the symmetry: P4/mmm. The total energy comes out at -1.571 eV/atom. The value obtained for the calculated formation energy is -0.037 eV/atom.